Record 1
# CoBrCl GGA-PBEsol optimized geometry
# Total magnetic moment (Bohr magnetons per cell): 3.01
# Excess energy over the best structure of this formula in the dataset (meV per atom): 1298
# SG: F-43m
# E_form (uncorrected) (meV/atom): 947.2
# DOS at the Fermi energy (states/eV per atom): 1.8995
data_CoBrCl
_chemical_formula_sum 'Co1 Br1 Cl1'
_space_group_name_H-M_alt 'P 1'
_space_group_IT_number 1
_cell_length_a 4.5529
_cell_length_b 4.5529
_cell_length_c 4.5529
_cell_angle_alpha 60.00
_cell_angle_beta 60.00
_cell_angle_gamma 60.00
loop_
_space_group_symop_operation_xyz
'x,y,z'
loop_
_atom_site_label
_atom_site_fract_x
_atom_site_fract_y
_atom_site_fract_z
Co1 0.0000 0.0000 0.0000
Br1 0.5000 0.5000 0.5000
Cl1 0.7500 0.7500 0.7500



Record 2
# RbLiS3 GGA-PBEsol optimized geometry
# Total magnetic moment (Bohr magnetons per cell): 4.01
# Excess energy over the best structure of this formula in the dataset (meV per atom): 926
# SG: Pm-3m
# E_form (uncorrected) (meV/atom): 825.0
# DOS at the Fermi energy (states/eV per atom): 1.2073
data_RbLiS3
_chemical_formula_sum 'Rb1 Li1 S3'
_space_group_name_H-M_alt 'P 1'
_space_group_IT_number 1
_cell_length_a 5.8312
_cell_length_b 5.8312
_cell_length_c 5.8312
_cell_angle_alpha 90.00
_cell_angle_beta 90.00
_cell_angle_gamma 90.00
loop_
_space_group_symop_operation_xyz
'x,y,z'
loop_
_atom_site_label
_atom_site_fract_x
_atom_site_fract_y
_atom_site_fract_z
Rb1 0.0000 0.0000 0.0000
Li1 0.5000 0.5000 0.5000
S1 0.0000 0.0000 0.5000
S2 0.0000 0.5000 0.0000
S3 0.5000 0.0000 0.0000